Compound: Ca4AgPt3
Source: Alexandria
Functional: PBE
Structure: relaxed

a = 5.0042 Å, b = 5.0042 Å, c = 8.6762 Å
α = 73.24°, β = 73.24°, γ = 60.00°
With the nearest neighbours (Å) after each atom.
Fractional positions:
1 Pt 0.2534 0.2534 0.2399  8 Ca 3.01-3.13
2 Pt 0.5000 0.5000 0.5000  8 Ca 2.97-3.03
3 Pt 0.7466 0.7466 0.7601  8 Ca 3.01-3.13
4 Ca 0.6210 0.6210 0.1370  5 Pt 2.97-3.08, 3 Ag 3.10
5 Ca 0.1288 0.1288 0.6136  7 Pt 3.03-3.13, 1 Ag 3.16
6 Ca 0.3790 0.3790 0.8630  5 Pt 2.97-3.08, 3 Ag 3.10
7 Ca 0.8712 0.8712 0.3864  7 Pt 3.03-3.13, 1 Ag 3.16
8 Ag 0.0000 0.0000 0.0000  8 Ca 3.10-3.16

**Raw total energy**: -4.395 eV per atom
**Calculated volume**: 22.178 A^3/atom